Computed, not measured: an optimized crystal structure of Nd2Ho5Tl4 at the PBE-GGA level of DFT.

Cell lengths 11.7936, 11.7936, 8.2125 Å; angles 93.50, 93.50, 17.23 degrees
Element x y z (fractional)
Nd (0.2267, 0.2267, 0.2417)
Nd (0.7733, 0.7733, 0.7583)
Ho (0.0000, 0.0000, 0.0000)
Ho (0.3610, 0.3610, 0.0718)
Ho (0.4040, 0.4040, 0.6970)
Ho (0.5960, 0.5960, 0.3030)
Ho (0.6390, 0.6390, 0.9282)
Tl (0.1593, 0.1593, 0.5917)
Tl (0.4628, 0.4628, 0.3373)
Tl (0.5372, 0.5372, 0.6627)
Tl (0.8407, 0.8407, 0.4083)

Computed properties:
Its formation enthalpy at 0 K is -92.9 meV/atom. As for the density of states at the Fermi level: 10.69 states/eV/cell. Its crystal system is monoclinic. The value obtained for the size of the total moment is 0.000 μB per formula unit.